[1]
## ZrPPd (GGA-PBE)

Data for a relaxed ZrPPd crystal.

Computed properties:
V	16.41	Å³/atom
size of the total moment	0.00	Bohr magnetons per cell
density	7.71	g cm⁻³
ΔE_f	-931.7	meV/atom

Structure (CIF):
```
data_ZrPPd
_chemical_formula_sum 'Zr4 P4 Pd4'
_cell_length_a 3.8416
_cell_length_b 9.3879
_cell_length_c 5.4592
_cell_angle_alpha 90.00
_cell_angle_beta 90.00
_cell_angle_gamma 90.00
_symmetry_space_group_name_H-M 'C m c m'
_symmetry_Int_Tables_number 63
_symmetry_space_group_name_Hall '-C 2c 2'
loop_
_atom_site_label
_atom_site_type_symbol
_atom_site_fract_x
_atom_site_fract_y
_atom_site_fract_z
Zr1 Zr 0.0000 0.2007 0.2500
P1 P 0.0000 0.1078 0.7500
Pd1 Pd 0.0000 0.5000 0.0000
```

[2]
## Ag4SbAu2 (GGA-PBE)

Data for a relaxed Ag4SbAu2 crystal.

Computed properties:
V	20.49	Å³/atom
size of the total moment	0.00	Bohr magnetons per cell
ΔE_f (raw)	0.093	eV per atom
excess energy over the best structure of this formula in the dataset	14	meV per atom
density	10.97	g cm⁻³

Structure (CIF):
```
data_Ag4SbAu2
_chemical_formula_sum 'Ag8 Sb2 Au4'
_cell_length_a 7.9232
_cell_length_b 7.9232
_cell_length_c 4.5692
_cell_angle_alpha 90.00
_cell_angle_beta 90.00
_cell_angle_gamma 90.00
_symmetry_space_group_name_H-M 'P 42/m n m'
_symmetry_Int_Tables_number 136
_symmetry_space_group_name_Hall '-P 4n 2n'
loop_
_atom_site_label
_atom_site_type_symbol
_atom_site_fract_x
_atom_site_fract_y
_atom_site_fract_z
Ag1 Ag 0.1169 0.3720 0.0000
Sb1 Sb 0.0000 0.0000 0.0000
Au1 Au 0.1576 0.1576 0.5000
```

[3]
## Sc4InIr2 (GGA-PBE)

Data for a relaxed Sc4InIr2 crystal.

Computed properties:
V	20.17	Å³/atom
size of the total moment	0.00	Bohr magnetons per cell
density	7.99	g cm⁻³
ΔE_f	-719.7	meV/atom

Structure (CIF):
```
data_Sc4InIr2
_chemical_formula_sum 'Sc12 In3 Ir6'
_cell_length_a 4.6790
_cell_length_b 4.6790
_cell_length_c 22.3440
_cell_angle_alpha 90.00
_cell_angle_beta 90.00
_cell_angle_gamma 120.00
_symmetry_space_group_name_H-M 'R -3 m'
_symmetry_Int_Tables_number 166
_symmetry_space_group_name_Hall '-R 3 2"'
loop_
_atom_site_label
_atom_site_type_symbol
_atom_site_fract_x
_atom_site_fract_y
_atom_site_fract_z
Sc1 Sc 0.0000 0.0000 0.1127
Sc2 Sc 0.0000 0.0000 0.3671
In1 In 0.0000 0.0000 0.5000
Ir1 Ir 0.0000 0.0000 0.2469
```